# 1
DFT (GGA-PBE) results for a relaxed structure of Y2GaTc.

The structure in POSCAR format:
```
Y2GaTc
1.0
-2.254 2.254 9.554
2.254 -2.254 9.554
2.254 2.254 -9.554
Y Ga Tc
4 2 2
direct
0.114 0.625 0.989
0.375 0.364 0.489
0.636 0.125 0.011
0.875 0.886 0.511
0.250 0.750 0.500
0.500 0.500 0.000
0.000 0.000 0.000
0.750 0.250 0.500
```

ΔE_f ... 2.2 eV per formula unit
Space-group type ... I-42d, No. 122

# 2
DFT (GGA-PBE) results for a relaxed structure of YGaTc3.

The structure in POSCAR format:
```
YGaTc3
1.0
4.637 0.000 0.000
0.000 4.637 0.000
0.000 0.000 4.637
Y Ga Tc
1 1 3
direct
0.000 0.000 0.000
0.500 0.500 0.500
0.000 0.500 0.500
0.500 0.000 0.500
0.500 0.500 0.000
```

ΔE_f ... 4.4 eV per formula unit
Space-group type ... Pm-3m, No. 221
Relative energy among the computed polymorphs ... 0.0000 eV/atom

# 3
DFT (GGA-PBE) results for a relaxed structure of Y2Ga3Tc.

The structure in POSCAR format:
```
Y2Ga3Tc
1.0
2.756 1.591 4.375
-2.756 1.591 4.375
0.000 -3.183 4.375
Y Ga Tc
2 3 1
direct
0.128 0.128 0.128
0.872 0.872 0.872
0.000 0.500 0.500
0.500 0.000 0.500
0.500 0.500 0.000
0.500 0.500 0.500
```

ΔE_f ... -3.2 eV per formula unit
Space-group type ... R-3m, No. 166
Relative energy among the computed polymorphs ... 0.0000 eV/atom

# 4
DFT (GGA-PBE) results for a relaxed structure of Y3GaTc.

The structure in POSCAR format:
```
Y3GaTc
1.0
5.297 0.000 0.000
0.000 5.297 0.000
0.000 0.000 5.297
Y Ga Tc
3 1 1
direct
0.000 0.000 0.500
0.000 0.500 0.000
0.500 0.000 0.000
0.500 0.500 0.500
0.000 0.000 0.000
```

ΔE_f ... 0.9 eV per formula unit
Space-group type ... Pm-3m, No. 221
Relative energy among the computed polymorphs ... 0.0000 eV/atom

# 5
DFT (GGA-PBE) results for a relaxed structure of Y2GaTc.

The structure in POSCAR format:
```
Y2GaTc
1.0
3.561 0.000 0.000
0.000 3.561 0.000
0.000 0.000 6.885
Y Ga Tc
2 1 1
direct
0.000 0.000 0.235
0.000 0.000 0.765
0.500 0.500 0.500
0.500 0.500 0.000
```

ΔE_f ... -1.0 eV per formula unit
Space-group type ... P4/mmm, No. 123

# 6
DFT (GGA-PBE) results for a relaxed structure of YGa2Tc2.

The structure in POSCAR format:
```
YGa2Tc2
1.0
-1.959 1.959 5.840
1.959 -1.959 5.840
1.959 1.959 -5.840
Y Ga Tc
1 2 2
direct
0.000 0.000 0.000
0.393 0.393 0.000
0.607 0.607 0.000
0.250 0.750 0.500
0.750 0.250 0.500
```

ΔE_f ... -1.3 eV per formula unit
Space-group type ... I4/mmm, No. 139
Relative energy among the computed polymorphs ... 0.0000 eV/atom

# 7
DFT (GGA-PBE) results for a relaxed structure of YGaTc3.

The structure in POSCAR format:
```
YGaTc3
1.0
4.891 0.000 0.000
0.000 4.891 0.000
0.000 0.000 4.891
Y Ga Tc
1 1 3
direct
0.000 0.000 0.000
0.500 0.500 0.500
0.000 0.000 0.500
0.000 0.500 0.000
0.500 0.000 0.000
```

ΔE_f ... 11.4 eV per formula unit
Space-group type ... Pm-3m, No. 221
Relative energy among the computed polymorphs ... 1.3911 eV/atom

# 8
DFT (GGA-PBE) results for a relaxed structure of YGa3Tc.

The structure in POSCAR format:
```
YGa3Tc
1.0
6.279 0.000 0.000
-3.139 5.438 0.000
0.000 0.000 5.550
Y Ga Tc
2 6 2
direct
0.333 0.667 0.250
0.667 0.333 0.750
0.196 0.392 0.750
0.196 0.804 0.750
0.392 0.196 0.250
0.608 0.804 0.750
0.804 0.196 0.250
0.804 0.608 0.250
0.000 0.000 0.000
0.000 0.000 0.500
```

ΔE_f ... -1.8 eV per formula unit
Space-group type ... P6_3/mmc, No. 194
Relative energy among the computed polymorphs ... 0.0000 eV/atom

# 9
DFT (GGA-PBE) results for a relaxed structure of YGaTc2.

The structure in POSCAR format:
```
YGaTc2
1.0
-2.100 2.100 9.321
2.100 -2.100 9.321
2.100 2.100 -9.321
Y Ga Tc
2 2 4
direct
0.000 0.000 0.000
0.750 0.250 0.500
0.250 0.750 0.500
0.500 0.500 0.000
0.235 0.625 0.110
0.375 0.485 0.610
0.515 0.125 0.890
0.875 0.765 0.390
```

ΔE_f ... 0.9 eV per formula unit
Space-group type ... I-42d, No. 122

# 10
DFT (GGA-PBE) results for a relaxed structure of YGa3Tc.

The structure in POSCAR format:
```
YGa3Tc
1.0
4.758 0.000 0.000
0.000 4.758 0.000
0.000 0.000 4.758
Y Ga Tc
1 3 1
direct
0.000 0.000 0.000
0.000 0.500 0.500
0.500 0.000 0.500
0.500 0.500 0.000
0.500 0.500 0.500
```

ΔE_f ... -1.0 eV per formula unit
Space-group type ... Pm-3m, No. 221
Relative energy among the computed polymorphs ... 0.1683 eV/atom

# 11
DFT (GGA-PBE) results for a relaxed structure of Y2GaTc2.

The structure in POSCAR format:
```
Y2GaTc2
1.0
6.761 0.000 0.000
0.000 6.761 0.000
0.000 0.000 4.589
Y Ga Tc
4 2 4
direct
0.177 0.323 0.000
0.323 0.823 0.000
0.677 0.177 0.000
0.823 0.677 0.000
0.000 0.000 0.500
0.500 0.500 0.500
0.123 0.623 0.500
0.377 0.123 0.500
0.623 0.877 0.500
0.877 0.377 0.500
```

ΔE_f ... -1.0 eV per formula unit
Space-group type ... P4/mbm, No. 127

# 12
DFT (GGA-PBE) results for a relaxed structure of Y3Ga3Tc.

The structure in POSCAR format:
```
Y3Ga3Tc
1.0
5.425 -2.124 0.000
5.425 2.124 0.000
-4.819 0.000 13.577
Y Ga Tc
6 6 2
direct
0.029 0.029 0.381
0.107 0.107 0.925
0.243 0.243 0.233
0.757 0.757 0.767
0.893 0.893 0.075
0.971 0.971 0.619
0.363 0.363 0.455
0.390 0.390 0.925
0.462 0.462 0.767
0.538 0.538 0.233
0.610 0.610 0.075
0.637 0.637 0.545
0.266 0.266 0.598
0.734 0.734 0.402
```

ΔE_f ... -3.6 eV per formula unit
Space-group type ... C2/m, No. 12

Calculated ρ (g cm⁻³), listed in the same order as above: 5.9 7.5 7.0 4.9 6.6 7.9 6.4 6.9 7.2 6.1 7.0 6.1
Calculated V (Å³/cell), listed in the same order as above: 194.23 99.67 115.13 148.65 87.32 89.60 117.00 189.50 164.44 107.71 209.74 312.84
Calculated total magnetization (μB/cell), listed in the same order as above: 2.1 2.8 0.0 0.0 0.0 0.1 5.0 0.0 0.0 0.0 0.0 0.0